Record 1
This record from OQMD describes a relaxed structure of ErTm2Fe3Co6. The functional is GGA-PBE.

Unit cell a=5.0344 b=5.0344 c=23.5298 alpha=90.00 beta=90.00 gamma=120.00
Closest atoms and distances in Å follow each position.
Space group R-3m (No. 166, hexagonal axes)
Symmetry-distinct sites (fractional):
Er (0.0000, 0.0000, 0.0000) x3  6 Fe 2.91, 12 Co 3.17
Tm (0.0000, 0.0000, 0.1410) x6  9 Co 2.87-2.97, 3 Fe 2.97, 3 Tm 3.15
Fe (0.0000, 0.0000, 0.3334) x6  6 Co 2.42
Fe (0.0000, 0.0000, 0.5000) x3  6 Co 2.47
Co (0.0020, 0.5010, 0.9178) x18  3 Fe 2.42-2.47, 4 Co 2.50-2.53

Results
- size of the total moment (μB/cell) = 40.47
- E_tot (eV per atom) = -6.975
- E_form (eV/atom) = -0.2185

---

Record 2
This record from OQMD describes a relaxed structure of Er2TmFe8Co. The functional is GGA-PBE.

Unit cell a=5.0235 b=5.0235 c=24.1084 alpha=90.00 beta=90.00 gamma=120.00
Closest atoms and distances in Å follow each position.
Space group R-3m (No. 166, hexagonal axes)
Symmetry-distinct sites (fractional):
Er (0.0000, 0.0000, 0.1419) x6  9 Fe 2.90-3.01, 3 Co 2.96, 3 Er 3.14
Tm (0.0000, 0.0000, 0.0000) x3  18 Fe 2.90-3.19
Fe (0.0000, 0.0000, 0.3328) x6  6 Fe 2.44-2.46
Fe (0.9996, 0.4998, 0.0818) x18  6 Fe 2.44-2.51, 1 Co 2.51
Co (0.0000, 0.0000, 0.5000) x3  6 Fe 2.51

Results
- size of the total moment (μB/cell) = 50.68
- E_tot (eV per atom) = -7.394
- E_form (eV/atom) = -0.1292

---

Record 3
This record from OQMD describes a relaxed structure of Y2ErFe3Co6. The functional is GGA-PBE.

Unit cell a=5.0511 b=5.0511 c=23.6385 alpha=90.00 beta=90.00 gamma=120.00
Closest atoms and distances in Å follow each position.
Space group R-3m (No. 166, hexagonal axes)
Symmetry-distinct sites (fractional):
Y (0.0000, 0.0000, 0.1406) x6  9 Co 2.89-3.01, 3 Fe 2.98, 3 Y 3.17
Er (0.0000, 0.0000, 0.0000) x3  6 Fe 2.92, 12 Co 3.18
Fe (0.0000, 0.0000, 0.3332) x6  6 Co 2.41-2.42
Fe (0.0000, 0.0000, 0.5000) x3  6 Co 2.49
Co (0.9995, 0.4998, 0.0814) x18  3 Fe 2.41-2.49, 4 Co 2.52-2.53

Results
- size of the total moment (μB/cell) = 39.15
- E_tot (eV per atom) = -7.262
- E_form (eV/atom) = -0.1740

---

Record 4
This record from OQMD describes a relaxed structure of YEr2Fe2Co7. The functional is GGA-PBE.

Unit cell a=5.0240 b=5.0240 c=23.6290 alpha=90.00 beta=90.00 gamma=120.00
Closest atoms and distances in Å follow each position.
Space group R-3m (No. 166, hexagonal axes)
Symmetry-distinct sites (fractional):
Y (0.0000, 0.0000, 0.0000) x3  6 Fe 2.90, 12 Co 3.18
Er (0.0000, 0.0000, 0.1410) x6  12 Co 2.87-2.97, 3 Er 3.14
Fe (0.0000, 0.0000, 0.3340) x6  6 Co 2.42-2.43
Co (0.0000, 0.0000, 0.5000) x3  6 Co 2.47
Co (0.0025, 0.5012, 0.9177) x18  2 Fe 2.42-2.43, 5 Co 2.47-2.53

Results
- size of the total moment (μB/cell) = 37.96
- E_tot (eV per atom) = -7.027
- E_form (eV/atom) = -0.1970

---

Record 5
This record from OQMD describes a relaxed structure of Y2ErFe6Co3. The functional is GGA-PBE.

Unit cell a=5.0335 b=5.0335 c=24.3171 alpha=90.00 beta=90.00 gamma=120.00
Closest atoms and distances in Å follow each position.
Space group R-3m (No. 166, hexagonal axes)
Symmetry-distinct sites (fractional):
Y (0.0000, 0.0000, 0.1419) x6  9 Fe 2.92-3.05, 3 Co 2.97, 3 Y 3.15
Er (0.0000, 0.0000, 0.0000) x3  6 Co 2.91, 12 Fe 3.20
Fe (0.0004, 0.5002, 0.0812) x18  3 Co 2.43-2.53, 4 Fe 2.51-2.52
Co (0.0000, 0.0000, 0.3324) x6  6 Fe 2.43-2.47
Co (0.0000, 0.0000, 0.5000) x3  6 Fe 2.53

Results
- size of the total moment (μB/cell) = 48.20
- E_tot (eV per atom) = -7.502
- E_form (eV/atom) = -0.1132

---

Record 6
This record from OQMD describes a relaxed structure of YEr2Fe7Co2. The functional is GGA-PBE.

Unit cell a=5.0173 b=5.0173 c=24.2225 alpha=90.00 beta=90.00 gamma=120.00
Closest atoms and distances in Å follow each position.
Space group R-3m (No. 166, hexagonal axes)
Symmetry-distinct sites (fractional):
Y (0.0000, 0.0000, 0.0000) x3  6 Co 2.90, 12 Fe 3.20
Er (0.0000, 0.0000, 0.1422) x6  12 Fe 2.90-3.01, 3 Er 3.13
Fe (0.0000, 0.0000, 0.5000) x3  6 Fe 2.51
Fe (0.0004, 0.5002, 0.0820) x18  2 Co 2.44-2.47, 5 Fe 2.51
Co (0.0000, 0.0000, 0.3326) x6  6 Fe 2.44-2.47

Results
- size of the total moment (μB/cell) = 48.33
- E_tot (eV per atom) = -7.444
- E_form (eV/atom) = -0.1140

---

Record 7
This record from OQMD describes a relaxed structure of Y2ErFe7Co2. The functional is GGA-PBE.

Unit cell a=5.0360 b=5.0360 c=24.3348 alpha=90.00 beta=90.00 gamma=120.00
Closest atoms and distances in Å follow each position.
Space group R-3m (No. 166, hexagonal axes)
Symmetry-distinct sites (fractional):
Y (0.0000, 0.0000, 0.1418) x6  12 Fe 2.92-3.06, 3 Y 3.15
Er (0.0000, 0.0000, 0.0000) x3  6 Co 2.91, 12 Fe 3.20
Fe (0.0000, 0.0000, 0.5000) x3  6 Fe 2.54
Fe (0.0009, 0.5005, 0.0810) x18  2 Co 2.43-2.47, 5 Fe 2.51-2.54
Co (0.0000, 0.0000, 0.3322) x6  6 Fe 2.43-2.47

Results
- size of the total moment (μB/cell) = 48.92
- E_tot (eV per atom) = -7.582
- E_form (eV/atom) = -0.0928

---

Record 8
This record from OQMD describes a relaxed structure of YEr2Fe3Co6. The functional is GGA-PBE.

Unit cell a=5.0526 b=5.0526 c=23.5711 alpha=90.00 beta=90.00 gamma=120.00
Closest atoms and distances in Å follow each position.
Space group R-3m (No. 166, hexagonal axes)
Symmetry-distinct sites (fractional):
Y (0.0000, 0.0000, 0.0000) x3  6 Fe 2.92, 12 Co 3.18
Er (0.0000, 0.0000, 0.1411) x6  9 Co 2.88-2.97, 3 Fe 2.98, 3 Er 3.16
Fe (0.0000, 0.0000, 0.3333) x6  6 Co 2.42-2.43
Fe (0.0000, 0.0000, 0.5000) x3  6 Co 2.47
Co (0.0014, 0.5007, 0.9178) x18  3 Fe 2.42-2.47, 4 Co 2.52-2.54

Results
- size of the total moment (μB/cell) = 40.13
- E_tot (eV per atom) = -7.128
- E_form (eV/atom) = -0.1987

---

Record 9
This record from OQMD describes a relaxed structure of Y2ErFeCo8. The functional is GGA-PBE.

Unit cell a=4.9912 b=4.9912 c=23.9914 alpha=90.00 beta=90.00 gamma=120.00
Closest atoms and distances in Å follow each position.
Space group R-3m (No. 166, hexagonal axes)
Symmetry-distinct sites (fractional):
Y (0.0000, 0.0000, 0.1394) x6  9 Co 2.86-3.06, 3 Fe 2.95, 3 Y 3.16
Er (0.0000, 0.0000, 0.0000) x3  18 Co 2.88-3.17
Fe (0.0000, 0.0000, 0.5000) x3  6 Co 2.51
Co (0.0000, 0.0000, 0.3339) x6  6 Co 2.42-2.43
Co (0.0020, 0.5010, 0.9188) x18  6 Co 2.42-2.51, 1 Fe 2.51

Results
- size of the total moment (μB/cell) = 34.90
- E_tot (eV per atom) = -7.054
- E_form (eV/atom) = -0.1664

---

Record 10
This record from OQMD describes a relaxed structure of Er4Ga16Co3. The functional is GGA-PBE.

Unit cell a=5.9827 b=5.9827 c=11.0171 alpha=90.00 beta=90.00 gamma=90.00
Closest atoms and distances in Å follow each position.
Space group P4/mmm (No. 123)
Symmetry-distinct sites (fractional):
Er (0.0000, 0.5000, 0.1946) x4  12 Ga 2.97-3.02
Ga (0.0000, 0.0000, 0.1973) x2  8 Ga 2.86-2.95, 4 Er 2.99
Ga (0.2194, 0.2194, 0.0000) x4  1 Co 2.37, 2 Ga 2.63
Ga (0.2506, 0.2506, 0.3838) x8  2 Co 2.47, 1 Ga 2.56
Ga (0.5000, 0.5000, 0.2179) x2  1 Co 2.40
Co (0.0000, 0.5000, 0.5000) x2  8 Ga 2.47
Co (0.5000, 0.5000, 0.0000) x1  6 Ga 2.37-2.40

Results
- size of the total moment (μB/cell) = 0.01
- E_tot (eV per atom) = -4.330

---

Record 11
This record from OQMD describes a relaxed structure of Er2Ga8Co. The functional is GGA-PBE.

Unit cell a=4.2061 b=4.2061 c=11.0243 alpha=90.00 beta=90.00 gamma=90.00
Closest atoms and distances in Å follow each position.
Space group P4/mmm (No. 123)
Symmetry-distinct sites (fractional):
Er (0.0000, 0.0000, 0.1938) x2  12 Ga 2.96-3.00
Ga (0.0000, 0.5000, 0.0000) x2  8 Ga 2.97-3.03, 4 Er 3.00
Ga (0.0000, 0.5000, 0.3829) x4  2 Co 2.47, 1 Ga 2.58
Ga (0.5000, 0.5000, 0.1981) x2  8 Ga 2.93-3.03, 4 Er 2.97
Co (0.0000, 0.0000, 0.5000) x1  8 Ga 2.47

Results
- size of the total moment (μB/cell) = 0.00
- E_tot (eV per atom) = -4.160

---

Record 12
This record from OQMD describes a relaxed structure of ErGa5Co. The functional is GGA-PBE.

Unit cell a=4.1990 b=4.1990 c=6.7849 alpha=90.00 beta=90.00 gamma=90.00
Closest atoms and distances in Å follow each position.
Space group P4/mmm (No. 123)
Symmetry-distinct sites (fractional):
Er (0.0000, 0.0000, 0.0000) x1  12 Ga 2.97
Ga (0.0000, 0.5000, 0.3096) x4  2 Co 2.47, 1 Ga 2.58
Ga (0.5000, 0.5000, 0.0000) x1  4 Er 2.97, 8 Ga 2.97
Co (0.0000, 0.0000, 0.5000) x1  8 Ga 2.47

Results
- size of the total moment (μB/cell) = 0.00
- E_tot (eV per atom) = -4.292

---

Record 13
This record from OQMD describes a relaxed structure of ErGa2Co3. The functional is GGA-PBE.

Unit cell a=5.1846 b=5.1846 c=3.7759 alpha=90.00 beta=90.00 gamma=120.00
Closest atoms and distances in Å follow each position.
Space group P6/mmm (No. 191)
Symmetry-distinct sites (fractional):
Er (0.0000, 0.0000, 0.0000) x1  6 Ga 2.99, 12 Co 3.21
Ga (0.3333, 0.6667, 0.0000) x2  6 Co 2.41
Co (0.0000, 0.5000, 0.5000) x3  4 Ga 2.41, 4 Co 2.59

Results
- size of the total moment (μB/cell) = 1.18
- E_tot (eV per atom) = -5.688

---

Record 14
This record from OQMD describes a relaxed structure of ErGa2Co3. The functional is GGA-PBE.

Unit cell a=8.9056 b=8.9056 c=3.8495 alpha=90.00 beta=90.00 gamma=120.00
Closest atoms and distances in Å follow each position.
Space group P6/mmm (No. 191)
Symmetry-distinct sites (fractional):
Er (0.0000, 0.0000, 0.0000) x1  6 Co 2.82
Er (0.3333, 0.6667, 0.5000) x2  12 Co 3.01-3.21, 6 Ga 3.05
Ga (0.0000, 0.3160, 0.5000) x6  6 Co 2.42-2.53
Co (0.0000, 0.5000, 0.0000) x3  4 Co 2.45, 4 Ga 2.53
Co (0.1830, 0.3660, 0.0000) x6  4 Ga 2.42, 2 Co 2.45

Results
- size of the total moment (μB/cell) = 2.81
- E_tot (eV per atom) = -5.702

---

Record 15
This record from OQMD describes a relaxed structure of Er4Ga12Co. The functional is GGA-PBE.

Unit cell a=8.5114 b=8.5114 c=8.5114 alpha=90.00 beta=90.00 gamma=90.00
Closest atoms and distances in Å follow each position.
Space group Im-3m (No. 229)
Symmetry-distinct sites (fractional):
Er (0.2500, 0.2500, 0.2500) x8  12 Ga 3.01-3.02
Ga (0.0000, 0.0000, 0.2827) x12  1 Co 2.41
Ga (0.0000, 0.2500, 0.5000) x12  8 Ga 2.82-3.01, 4 Er 3.01
Co (0.0000, 0.0000, 0.0000) x2  6 Ga 2.41

Results
- size of the total moment (μB/cell) = 0.01
- E_tot (eV per atom) = -4.171

---

Record 16
This record from OQMD describes a relaxed structure of GdErGaCo2. The functional is GGA-PBE.

Unit cell a=3.8781 b=3.7517 c=13.1141 alpha=90.00 beta=90.00 gamma=90.00
Closest atoms and distances in Å follow each position.
Space group Amm2 (No. 38)
Symmetry-distinct sites (fractional):
Gd (0.0000, 0.0000, 0.0000) x2  6 Co 2.85-2.95
Er (0.0000, 0.0000, 0.7349) x2  6 Co 2.83-2.90
Ga (0.5000, 0.0000, 0.3662) x2  2 Co 2.58-2.68
Co (0.5000, 0.0000, 0.1693) x2  2 Co 2.28
Co (0.5000, 0.0000, 0.5704) x2  2 Co 2.28

Results
- size of the total moment (μB/cell) = 1.57
- E_tot (eV per atom) = -5.655

---

Record 17
This record from OQMD describes a relaxed structure of GdErGa4Co2. The functional is GGA-PBE.

Unit cell a=3.9631 b=4.0826 c=17.7773 alpha=90.00 beta=90.00 gamma=90.00
Closest atoms and distances in Å follow each position.
Space group Amm2 (No. 38)
Symmetry-distinct sites (fractional):
Gd (0.0000, 0.0000, 0.0000) x2  10 Ga 3.08-3.30, 4 Co 3.10
Er (0.0000, 0.0000, 0.2863) x2  10 Ga 3.07-3.29, 4 Co 3.09
Ga (0.0000, 0.0000, 0.6441) x2  4 Co 2.38-2.39
Ga (0.5000, 0.0000, 0.1442) x2  4 Co 2.43-2.44
Ga (0.5000, 0.0000, 0.4342) x2  1 Co 2.39, 2 Ga 2.52
Ga (0.5000, 0.0000, 0.8513) x2  1 Co 2.36, 2 Ga 2.52
Co (0.5000, 0.0000, 0.5688) x2  5 Ga 2.39-2.44, 1 Co 2.66
Co (0.5000, 0.0000, 0.7185) x2  5 Ga 2.36-2.43

Results
- size of the total moment (μB/cell) = 0.00
- E_tot (eV per atom) = -4.982

---

Record 18
This record from OQMD describes a relaxed structure of Er4GaCo2Ge4. The functional is GGA-PBE.

Unit cell a=15.1289 b=4.2012 c=6.8806 alpha=90.00 beta=107.38 gamma=90.00
Closest atoms and distances in Å follow each position.
Space group C2/m (No. 12)
Symmetry-distinct sites (fractional):
Er (0.0883, 0.0000, 0.3843) x4  3 Co 2.92-3.05, 6 Ge 2.93-3.10
Er (0.1510, 0.0000, 0.9420) x4  5 Ge 2.87-3.00, 1 Co 3.00
Ga (0.0000, 0.5000, 0.0000) x2  4 Ge 2.80-3.09
Co (0.2211, 0.5000, 0.6305) x4  4 Ge 2.39-2.44
Ge (0.0675, 0.5000, 0.6633) x4  1 Co 2.40, 1 Ge 2.55
Ge (0.2047, 0.5000, 0.2666) x4  3 Co 2.39-2.44

Results
- size of the total moment (μB/cell) = 0.52
- E_tot (eV per atom) = -5.632

---

Record 19
This record from OQMD describes a relaxed structure of Ho2ErGa3CoGe2. The functional is GGA-PBE.

Unit cell a=4.1111 b=11.9899 c=6.9257 alpha=90.00 beta=90.00 gamma=90.00
Closest atoms and distances in Å follow each position.
Space group Amm2 (No. 38)
Symmetry-distinct sites (fractional):
Ho (0.0000, 0.1996, 0.0000) x4  1 Co 2.77, 4 Ge 2.95
Er (0.0000, 0.0000, 0.5986) x2  1 Co 2.76, 4 Ge 2.95
Ga (0.5000, 0.0000, 0.9710) x2  2 Co 2.60, 2 Ga 2.74, 2 Ge 2.74
Ga (0.5000, 0.1142, 0.3139) x4  2 Co 2.59, 2 Ga 2.74, 2 Ge 2.74-2.75
Co (0.0000, 0.0000, 0.2000) x2  6 Ga 2.59-2.60, 1 Er 2.76, 2 Ho 2.77
Ge (0.5000, 0.1664, 0.6995) x4  3 Ga 2.74-2.75, 2 Er 2.95, 4 Ho 2.95

Results
- size of the total moment (μB/cell) = 0.02
- E_tot (eV per atom) = -5.049

---

Record 20
This record from OQMD describes a relaxed structure of HoErGaCo2. The functional is GGA-PBE.

Unit cell a=3.8517 b=3.7366 c=13.0064 alpha=90.00 beta=90.00 gamma=90.00
Closest atoms and distances in Å follow each position.
Space group Amm2 (No. 38)
Symmetry-distinct sites (fractional):
Ho (0.0000, 0.0000, 0.0000) x2  6 Co 2.82-2.91
Er (0.0000, 0.0000, 0.7331) x2  6 Co 2.81-2.90
Ga (0.5000, 0.0000, 0.3663) x2  2 Co 2.58-2.60
Co (0.5000, 0.0000, 0.1676) x2  2 Co 2.28
Co (0.5000, 0.0000, 0.5666) x2  2 Co 2.28

Results
- size of the total moment (μB/cell) = 1.43
- E_tot (eV per atom) = -5.660